# 1
Here is crystalline ReWF2 at its relaxed geometry from Alexandria via LeMat-Bulk. Energies are from PBE with a Hubbard U.

a b c (Å): 4.267 4.267 4.267
angles (deg): 60.00 60.00 60.00
Atoms (fractional coordinates):
Re  0.000  0.000  0.000
W  0.500  0.500  0.500
F  0.250  0.250  0.250
F  0.750  0.750  0.750

* raw total energy: -4.9710 eV per atom

# 2
Here is crystalline Re3WF at its relaxed geometry from Alexandria via LeMat-Bulk. Energies are from PBE with a Hubbard U.

a b c (Å): 4.788 4.788 4.788
angles (deg): 90.00 90.00 90.00
Atoms (fractional coordinates):
Re  0.000  0.000  0.500
Re  0.000  0.500  0.000
Re  0.500  0.000  0.000
W  0.000  0.000  0.000
F  0.500  0.500  0.500

* raw total energy: -6.5350 eV per atom
* excess energy over the best structure of this formula in the dataset: 1431.3 meV per atom

# 3
Here is crystalline Re2WF at its relaxed geometry from Alexandria via LeMat-Bulk. Energies are from PBE with a Hubbard U.

a b c (Å): 4.391 4.391 4.391
angles (deg): 60.00 60.00 60.00
Atoms (fractional coordinates):
Re  0.250  0.250  0.250
Re  0.750  0.750  0.750
W  0.000  0.000  0.000
F  0.500  0.500  0.500

* raw total energy: -7.8240 eV per atom
* excess energy over the best structure of this formula in the dataset: 0.0 meV per atom

# 4
Here is crystalline Re2WF at its relaxed geometry from Alexandria via LeMat-Bulk. Energies are from PBE with a Hubbard U.

a b c (Å): 5.420 5.420 5.420
angles (deg): 103.52 103.52 122.17
Atoms (fractional coordinates):
Re  0.079  0.125  0.454
Re  0.375  0.921  0.046
Re  0.671  0.625  0.546
Re  0.875  0.329  0.954
W  0.250  0.750  0.500
W  0.500  0.500  0.000
F  0.000  0.000  0.000
F  0.750  0.250  0.500

* raw total energy: -7.6528 eV per atom
* excess energy over the best structure of this formula in the dataset: 171.2 meV per atom

| no. | calculated density (g/cm3) |
| --- | --- |
| 1 | 12.34 |
| 2 | 11.52 |
| 3 | 15.96 |
| 4 | 16.19 |